DFT (PBE) results for crystalline NdTm10Th4 at its relaxed geometry.

Unit cell a=11.043 b=8.693 c=8.693 alpha=66.21 beta=50.57 gamma=50.57
Fractional coordinates of all 15 atoms:
Tm1 0.040 0.346 0.904
Tm2 0.750 0.500 0.500
Tm3 0.944 0.096 0.346
Tm4 0.290 0.654 0.096
Nd1 0.000 0.000 0.000
Tm5 0.386 0.904 0.654
Tm6 0.056 0.904 0.654
Tm7 0.710 0.346 0.904
Th1 0.799 0.748 0.654
Th2 0.453 0.346 0.748
Th3 0.547 0.654 0.252
Th4 0.201 0.252 0.346
Tm8 0.250 0.500 0.500
Tm9 0.960 0.654 0.096
Tm10 0.614 0.096 0.346

Summary:
The total energy is -71.51 eV per cell.



DFT (PBE) results for crystalline Nd4Tm2Th3 at its relaxed geometry.

Unit cell a=3.578 b=3.578 c=27.053 alpha=90.00 beta=90.00 gamma=120.00
Fractional coordinates of all 9 atoms:
Nd1 0.667 0.333 0.211
Tm1 0.667 0.333 0.875
Nd2 0.000 0.000 0.547
Tm2 0.667 0.333 0.087
Th1 0.667 0.333 0.656
Th2 0.000 0.000 0.983
Th3 0.000 0.000 0.320
Nd3 0.667 0.333 0.430
Nd4 0.000 0.000 0.768

Summary:
The energy above the most stable polymorph in this dataset comes out at 0.38 eV/f.u.



DFT (PBE) results for crystalline Nd2TmTh4 at its relaxed geometry.

Unit cell a=3.577 b=3.582 c=18.267 alpha=90.00 beta=95.62 gamma=90.00
Fractional coordinates of all 7 atoms:
Nd1 0.794 0.500 0.589
Th1 0.636 0.000 0.273
Nd2 0.206 0.500 0.411
Th2 0.069 0.500 0.139
Tm1 0.500 0.000 0.000
Th3 0.364 0.000 0.727
Th4 0.931 0.500 0.861

Summary:
The total energy is -43.18 eV per cell.



DFT (PBE) results for crystalline Nd14TmTh at its relaxed geometry.

Unit cell a=7.313 b=7.313 c=10.402 alpha=90.00 beta=90.00 gamma=90.02
Fractional coordinates of all 16 atoms:
Nd1 0.875 0.625 0.500
Nd2 0.627 0.373 0.246
Tm1 0.375 0.625 0.000
Nd3 0.375 0.125 0.000
Nd4 0.627 0.373 0.754
Nd5 0.123 0.373 0.246
Th1 0.875 0.125 0.000
Nd6 0.627 0.877 0.246
Nd7 0.375 0.125 0.500
Nd8 0.875 0.625 0.000
Nd9 0.875 0.125 0.500
Nd10 0.627 0.877 0.754
Nd11 0.123 0.373 0.754
Nd12 0.123 0.877 0.246
Nd13 0.375 0.625 0.500
Nd14 0.123 0.877 0.754

Summary:
The total energy is -78.28 eV per cell.



DFT (PBE) results for crystalline Nd8Tm5Th at its relaxed geometry.

Unit cell a=8.629 b=8.702 c=8.548 alpha=117.74 beta=96.85 gamma=113.72
Fractional coordinates of all 14 atoms:
Nd1 0.242 0.365 0.465
Tm1 0.407 0.029 0.434
Th1 0.368 0.393 0.848
Nd2 0.725 0.376 0.957
Nd3 0.054 0.761 0.528
Nd4 0.902 0.125 0.647
Nd5 0.575 0.661 0.325
Tm2 0.117 0.431 0.141
Nd6 0.508 0.882 0.772
Tm3 0.305 0.130 0.051
Tm4 0.712 0.588 0.696
Tm5 0.936 0.882 0.190
Nd7 0.147 0.659 0.909
Nd8 0.753 0.217 0.287

Summary:
The total energy is -65.37 eV per cell.



DFT (PBE) results for crystalline Nd2Tm2Th at its relaxed geometry.

Unit cell a=3.594 b=3.594 c=14.642 alpha=82.95 beta=82.95 gamma=60.00
Fractional coordinates of all 5 atoms:
Tm1 0.603 0.603 0.192
Th1 0.000 0.000 0.000
Nd1 0.799 0.799 0.604
Nd2 0.201 0.201 0.396
Tm2 0.397 0.397 0.808

Summary:
The energy above the most stable polymorph in this dataset comes out at 0.00 eV/f.u.



DFT (PBE) results for crystalline NdTmTh4 at its relaxed geometry.

Unit cell a=5.036 b=5.056 c=8.049 alpha=90.00 beta=108.23 gamma=90.00
Fractional coordinates of all 6 atoms:
Th1 0.832 0.500 0.663
Th2 0.331 0.000 0.662
Tm1 0.000 0.000 0.000
Th3 0.168 0.500 0.337
Nd1 0.500 0.500 0.000
Th4 0.669 0.000 0.338

Summary:
The energy above the most stable polymorph in this dataset comes out at 0.00 eV/f.u.



DFT (PBE) results for crystalline NdTmTh at its relaxed geometry.

Unit cell a=4.958 b=4.958 c=8.495 alpha=90.00 beta=90.00 gamma=90.00
Fractional coordinates of all 6 atoms:
Nd1 0.000 0.500 0.295
Tm1 0.000 0.500 0.714
Tm2 0.500 0.000 0.286
Th1 0.000 0.000 0.000
Nd2 0.500 0.000 0.705
Th2 0.500 0.500 0.000

Summary:
The energy above the most stable polymorph in this dataset comes out at 0.50 eV/f.u.



DFT (PBE) results for crystalline NdTm8Th2 at its relaxed geometry.

Unit cell a=6.091 b=7.898 c=9.317 alpha=120.41 beta=108.81 gamma=97.61
Fractional coordinates of all 11 atoms:
Th1 0.222 0.449 0.631
Th2 0.778 0.551 0.369
Tm1 0.320 0.630 0.088
Tm2 0.956 0.911 0.275
Tm3 0.597 0.185 0.457
Tm4 0.865 0.722 0.813
Tm5 0.680 0.370 0.912
Nd1 0.500 0.000 0.000
Tm6 0.044 0.089 0.725
Tm7 0.135 0.278 0.187
Tm8 0.403 0.815 0.543

Summary:
The energy above the most stable polymorph in this dataset comes out at 0.00 eV/f.u.



DFT (PBE) results for crystalline NdTm9Th2 at its relaxed geometry.

Unit cell a=3.485 b=11.235 c=11.235 alpha=120.00 beta=90.00 gamma=90.00
Fractional coordinates of all 12 atoms:
Tm1 0.000 0.500 0.000
Tm2 0.500 0.176 0.824
Tm3 0.000 0.500 0.500
Tm4 0.500 0.824 0.176
Tm5 0.500 0.824 0.648
Tm6 0.500 0.352 0.176
Nd1 0.000 0.000 0.000
Th1 0.000 0.333 0.667
Tm7 0.500 0.648 0.824
Th2 0.000 0.667 0.333
Tm8 0.000 0.000 0.500
Tm9 0.500 0.176 0.352

Summary:
The energy above the most stable polymorph in this dataset comes out at 0.85 eV/f.u.



DFT (PBE) results for crystalline Nd11Tm9Th4 at its relaxed geometry.

Unit cell a=3.706 b=15.372 c=15.372 alpha=113.07 beta=90.00 gamma=90.00
Fractional coordinates of all 24 atoms:
Tm1 0.500 0.211 0.065
Tm2 0.500 0.789 0.935
Tm3 0.500 0.634 0.163
Nd1 0.000 0.633 0.367
Nd2 0.000 0.710 0.710
Nd3 0.000 0.290 0.290
Nd4 0.000 0.955 0.593
Th1 0.500 0.445 0.242
Th2 0.500 0.758 0.555
Nd5 0.000 0.000 0.000
Nd6 0.000 0.841 0.159
Nd7 0.000 0.159 0.841
Tm4 0.500 0.065 0.211
Nd8 0.000 0.045 0.407
Tm5 0.500 0.163 0.634
Nd9 0.000 0.593 0.955
Nd10 0.000 0.367 0.633
Tm6 0.500 0.935 0.789
Th3 0.500 0.242 0.445
Nd11 0.000 0.407 0.045
Tm7 0.500 0.500 0.500
Tm8 0.500 0.837 0.366
Tm9 0.500 0.366 0.837
Th4 0.500 0.555 0.758

Summary:
The total energy is -119.55 eV per cell.



DFT (PBE) results for crystalline Nd2Tm6Th at its relaxed geometry.

Unit cell a=6.523 b=10.783 c=10.783 alpha=82.04 beta=60.90 gamma=60.90
Fractional coordinates of all 18 atoms:
Tm1 0.452 0.775 0.956
Tm2 0.747 0.944 0.543
Nd1 0.406 0.333 0.386
Nd2 0.906 0.386 0.333
Tm3 0.937 0.341 0.725
Tm4 0.048 0.044 0.225
Th1 0.250 0.112 0.888
Nd3 0.594 0.667 0.614
Tm5 0.247 0.543 0.944
Nd4 0.094 0.614 0.667
Tm6 0.437 0.725 0.341
Tm7 0.063 0.659 0.275
Tm8 0.253 0.056 0.457
Th2 0.750 0.888 0.112
Tm9 0.952 0.956 0.775
Tm10 0.548 0.225 0.044
Tm11 0.753 0.457 0.056
Tm12 0.563 0.275 0.659

Summary:
The energy above the most stable polymorph in this dataset comes out at 0.48 eV/f.u.



DFT (PBE) results for crystalline NdTm12Th5 at its relaxed geometry.

Unit cell a=10.536 b=10.577 c=6.111 alpha=106.60 beta=90.00 gamma=60.13
Fractional coordinates of all 18 atoms:
Tm1 0.833 0.667 0.500
Th1 0.333 0.333 0.001
Tm2 0.001 0.664 0.001
Tm3 0.999 0.336 0.999
Th2 0.168 0.664 0.493
Th3 0.500 0.000 0.500
Tm4 0.665 0.336 0.999
Th4 0.667 0.667 0.999
Tm5 0.335 0.664 0.001
Tm6 0.664 0.000 0.000
Tm7 0.500 0.333 0.500
Tm8 0.336 0.000 0.000
Nd1 0.000 0.000 0.000
Tm9 0.168 0.000 0.500
Th5 0.832 0.336 0.507
Tm10 0.832 0.000 0.500
Tm11 0.167 0.333 0.500
Tm12 0.500 0.667 0.500

Summary:
The total energy is -94.81 eV per cell.



DFT (PBE) results for crystalline Nd3Tm2Th4 at its relaxed geometry.

Unit cell a=6.237 b=6.222 c=12.905 alpha=136.06 beta=75.79 gamma=120.20
Fractional coordinates of all 9 atoms:
Tm1 0.775 0.549 0.332
Tm2 0.225 0.451 0.668
Nd1 0.557 0.111 0.668
Nd2 0.443 0.889 0.332
Th1 0.330 0.669 0.999
Nd3 0.000 0.000 0.000
Th2 0.898 0.793 0.668
Th3 0.102 0.207 0.332
Th4 0.670 0.331 0.001

Summary:
The total energy is -52.33 eV per cell.



DFT (PBE) results for crystalline Nd6TmTh3 at its relaxed geometry.

Unit cell a=3.577 b=16.498 c=12.853 alpha=69.99 beta=107.76 gamma=92.93
Fractional coordinates of all 20 atoms:
Nd1 0.122 0.379 0.389
Tm1 0.209 0.263 0.898
Nd2 0.652 0.181 0.363
Th1 0.569 0.576 0.362
Nd3 0.698 0.521 0.127
Th2 0.366 0.034 0.608
Th3 0.634 0.966 0.392
Nd4 0.983 0.673 0.891
Nd5 0.878 0.621 0.611
Nd6 0.891 0.232 0.632
Nd7 0.017 0.327 0.109
Nd8 0.109 0.768 0.368
Nd9 0.641 0.077 0.879
Nd10 0.348 0.819 0.637
Th4 0.921 0.105 0.158
Nd11 0.359 0.923 0.121
Tm2 0.791 0.737 0.102
Nd12 0.302 0.479 0.873
Th5 0.431 0.424 0.638
Th6 0.079 0.895 0.842

Summary:
The total energy is -108.96 eV per cell.



DFT (PBE) results for crystalline Nd7Tm12Th at its relaxed geometry.

Unit cell a=8.718 b=8.718 c=8.718 alpha=88.94 beta=88.94 gamma=88.94
Fractional coordinates of all 20 atoms:
Tm1 0.865 0.286 0.744
Tm2 0.286 0.744 0.865
Nd1 0.619 0.955 0.837
Nd2 0.381 0.045 0.163
Tm3 0.852 0.499 0.383
Tm4 0.135 0.714 0.256
Nd3 0.955 0.837 0.619
Tm5 0.617 0.148 0.501
Tm6 0.714 0.256 0.135
Tm7 0.256 0.135 0.714
Tm8 0.499 0.383 0.852
Nd4 0.163 0.381 0.045
Tm9 0.383 0.852 0.499
Tm10 0.148 0.501 0.617
Th1 0.000 0.000 0.000
Tm11 0.744 0.865 0.286
Nd5 0.045 0.163 0.381
Tm12 0.501 0.617 0.148
Nd6 0.500 0.500 0.500
Nd7 0.837 0.619 0.955

Summary:
The total energy is -89.76 eV per cell.



DFT (PBE) results for crystalline Nd2Tm4Th at its relaxed geometry.

Unit cell a=6.585 b=9.023 c=9.023 alpha=79.09 beta=68.60 gamma=68.60
Fractional coordinates of all 14 atoms:
Tm1 0.241 0.239 0.739
Th1 0.000 0.500 0.000
Nd1 0.726 0.024 0.524
Nd2 0.500 0.000 0.000
Th2 0.500 0.500 0.000
Tm2 0.140 0.369 0.351
Tm3 0.759 0.761 0.261
Tm4 0.860 0.149 0.131
Nd3 0.274 0.976 0.476
Tm5 0.860 0.631 0.649
Nd4 0.500 0.500 0.500
Tm6 0.140 0.851 0.869
Tm7 0.219 0.761 0.261
Tm8 0.781 0.239 0.739

Summary:
The energy above the most stable polymorph in this dataset comes out at 1.86 eV/f.u.



DFT (PBE) results for crystalline NdTm5Th2 at its relaxed geometry.

Unit cell a=3.501 b=8.788 c=8.788 alpha=78.32 beta=78.51 gamma=78.51
Fractional coordinates of all 8 atoms:
Nd1 0.000 0.000 0.000
Th1 0.739 0.761 0.761
Th2 0.261 0.239 0.239
Tm1 0.369 0.403 0.859
Tm2 0.000 0.500 0.500
Tm3 0.631 0.141 0.597
Tm4 0.631 0.597 0.141
Tm5 0.369 0.859 0.403

Summary:
The total energy is -41.19 eV per cell.



DFT (PBE) results for crystalline Nd4TmTh at its relaxed geometry.

Unit cell a=3.467 b=6.103 c=10.375 alpha=86.46 beta=80.38 gamma=73.50
Fractional coordinates of all 6 atoms:
Nd1 0.151 0.040 0.658
Nd2 0.340 0.477 0.844
Th1 0.500 0.500 0.500
Tm1 0.000 0.000 0.000
Nd3 0.849 0.960 0.342
Nd4 0.660 0.523 0.156

Summary:
The energy above the most stable polymorph in this dataset comes out at 0.97 eV/f.u.



DFT (PBE) results for crystalline Nd3Tm3Th at its relaxed geometry.

Unit cell a=3.574 b=11.357 c=15.773 alpha=132.60 beta=90.00 gamma=90.00
Fractional coordinates of all 14 atoms:
Nd1 0.250 0.334 0.365
Tm1 0.250 0.426 0.657
Nd2 0.750 0.161 0.113
Nd3 0.750 0.666 0.635
Tm2 0.750 0.113 0.852
Tm3 0.750 0.574 0.343
Tm4 0.250 0.887 0.148
Nd4 0.250 0.442 0.883
Th1 0.250 0.854 0.369
Th2 0.750 0.146 0.631
Nd5 0.250 0.839 0.887
Tm5 0.750 0.135 0.412
Nd6 0.750 0.558 0.117
Tm6 0.250 0.865 0.588

Summary:
The total energy is -68.36 eV per cell.



We obtain mass density values of 9.213, 8.917, 9.878, 7.225, 7.693, 8.791, 10.589, 8.671, 9.541, 9.278, 8.318, 8.873, 9.923, 9.575, 8.482, 8.198, 8.566, 9.429, 7.827, 8.255 g cm⁻³ for the records listed above, in that order.